1.
The following is a DFT calculation (PBE) of crystalline Sm9Dy2Th at its relaxed geometry.

Summary:
The space group is P4/mmm (123). The calculation puts the calculated total energy at -4.895 eV per atom. Its magnetic moment is 0.00 μB per cell. The calculated volume comes out at 33.23 Å³/atom. As for the theoretical density: 7.95 g/cm³.

abc: 5.103 5.103 15.313
angles: 90.00 90.00 90.00
Positions (direct):
Dy 0.000 0.000 0.334
Sm 0.500 0.500 0.665
Sm 0.000 0.500 0.835
Sm 0.500 0.000 0.835
Sm 0.500 0.000 0.500
Th 0.000 0.000 0.000
Sm 0.500 0.000 0.165
Sm 0.000 0.500 0.500
Sm 0.500 0.500 0.000
Dy 0.000 0.000 0.666
Sm 0.500 0.500 0.335
Sm 0.000 0.500 0.165

2.
The following is a DFT calculation (PBE) of crystalline Sm6Dy16Th7 at its relaxed geometry.

Summary:
The space group is Fm-3m (225). The calculation puts the calculated total energy at -5.044 eV per atom. Its magnetic moment is 0.00 μB per cell. The calculated volume comes out at 34.93 Å³/atom. As for the theoretical density: 8.40 g/cm³.

abc: 11.273 11.273 11.273
angles: 60.00 60.00 60.00
Positions (direct):
Dy 0.346 0.346 0.346
Dy 0.129 0.129 0.612
Dy 0.963 0.346 0.346
Th 0.000 0.500 0.500
Dy 0.129 0.612 0.129
Th 0.500 0.000 0.500
Th 0.000 0.000 0.500
Dy 0.346 0.963 0.346
Th 0.000 0.000 0.000
Dy 0.871 0.871 0.388
Sm 0.257 0.257 0.743
Dy 0.612 0.129 0.129
Th 0.500 0.000 0.000
Dy 0.871 0.388 0.871
Dy 0.388 0.871 0.871
Dy 0.654 0.037 0.654
Sm 0.743 0.257 0.743
Sm 0.743 0.743 0.257
Dy 0.129 0.129 0.129
Dy 0.654 0.654 0.037
Dy 0.037 0.654 0.654
Dy 0.654 0.654 0.654
Th 0.000 0.500 0.000
Dy 0.346 0.346 0.963
Th 0.500 0.500 0.000
Sm 0.257 0.743 0.743
Sm 0.743 0.257 0.257
Sm 0.257 0.743 0.257
Dy 0.871 0.871 0.871

3.
The following is a DFT calculation (PBE) of crystalline Sm3Dy7Th2 at its relaxed geometry.

Summary:
The space group is P-1 (2). The calculation puts the calculated total energy at -5.075 eV per atom. Its magnetic moment is 0.00 μB per cell. The calculated volume comes out at 32.08 Å³/atom. As for the theoretical density: 8.85 g/cm³.

abc: 3.581 6.182 17.744
angles: 80.16 95.76 90.00
Positions (direct):
Dy 0.751 0.257 0.502
Dy 0.000 0.000 0.000
Sm 0.500 0.500 0.000
Dy 0.416 0.921 0.833
Th 0.666 0.668 0.332
Dy 0.584 0.079 0.167
Th 0.334 0.332 0.668
Dy 0.915 0.414 0.832
Dy 0.085 0.586 0.168
Dy 0.249 0.743 0.498
Sm 0.834 0.835 0.666
Sm 0.166 0.165 0.334

4.
The following is a DFT calculation (PBE) of crystalline Sm2Dy2Th at its relaxed geometry.

Summary:
The space group is P2/m (10). The calculation puts the calculated total energy at -5.157 eV per atom. Its magnetic moment is 0.00 μB per cell. The calculated volume comes out at 32.41 Å³/atom. As for the relative energy among the computed polymorphs: 0.00 eV/f.u. As for the theoretical density: 8.79 g/cm³.

abc: 3.528 5.395 8.933
angles: 107.64 90.00 90.00
Positions (direct):
Sm 0.000 0.198 0.396
Th 0.000 0.000 0.000
Dy 0.500 0.604 0.207
Dy 0.500 0.396 0.793
Sm 0.000 0.802 0.604